Cs3SrPm2S6 | PBE | relaxed

Properties
For the volume, the calculation gives 387.6 Å³ per cell. The calculation puts the total energy at -0.356 Ry per atom. For the total moment, the calculation gives 0.0 μB per formula unit.

Lattice parameters (Å, degrees): 7.448 7.448 8.443 98.46 98.46 120.00
Sites, in units of the cell vectors:
Cs 0.000 0.000 0.000
Cs 0.337 0.663 0.000
Cs 0.663 0.337 0.000
Sr 0.500 0.500 0.500
Pm 0.167 0.833 0.500
Pm 0.833 0.167 0.500
S 0.086 0.437 0.311
S 0.211 0.211 0.687
S 0.437 0.086 0.311
S 0.563 0.914 0.689
S 0.789 0.789 0.313
S 0.914 0.563 0.689